Compound: Y7Zn2In2
Source: the Alexandria database
Functional: GGA-PBE
Structure: optimized geometry

Structure (CIF):
```
data_Y7Zn2In2
_chemical_formula_sum 'Y14 Zn4 In4'
_symmetry_space_group_name_H-M 'C m m m'
_symmetry_Int_Tables_number 65
_symmetry_space_group_name_Hall '-C 2 2'
_cell_length_a 7.8322
_cell_length_b 11.1913
_cell_length_c 7.4363
_cell_angle_alpha 90.00
_cell_angle_beta 90.00
_cell_angle_gamma 90.00
loop_
_atom_site_label
_atom_site_type_symbol
_atom_site_fract_x
_atom_site_fract_y
_atom_site_fract_z
Y1 Y 0.0000 0.0000 0.0000
Y2 Y 0.0000 0.5000 0.2423
Y3 Y 0.2500 0.2500 0.2734
Zn1 Zn 0.0000 0.2881 0.0000
In1 In 0.1800 0.0000 0.5000
```

Results
Its spin magnetization is 0.00 μB per formula unit. As for the crystal system: orthorhombic. The value obtained for the volume is 651.8 Å³ per cell. The calculation puts the formation energy at -0.081 eV/atom.

***

Compound: TeAsCl3
Source: the Alexandria database
Functional: GGA-PBE
Structure: optimized geometry

Structure (CIF):
```
data_TeAsCl3
_chemical_formula_sum 'Te1 As1 Cl3'
_symmetry_space_group_name_H-M 'P m -3 m'
_symmetry_Int_Tables_number 221
_symmetry_space_group_name_Hall '-P 4 2 3'
_cell_length_a 5.1518
_cell_length_b 5.1518
_cell_length_c 5.1518
_cell_angle_alpha 90.00
_cell_angle_beta 90.00
_cell_angle_gamma 90.00
loop_
_atom_site_label
_atom_site_type_symbol
_atom_site_fract_x
_atom_site_fract_y
_atom_site_fract_z
Te1 Te 0.0000 0.0000 0.0000
As1 As 0.5000 0.5000 0.5000
Cl1 Cl 0.0000 0.5000 0.5000
```

Results
Its energy above the most stable polymorph in this dataset is 0 meV per atom. Its spin magnetization is 2.33 μB per formula unit. As for the crystal system: cubic. The value obtained for the volume is 136.7 Å³ per cell. The value obtained for the uncorrected formation energy is 49 meV per atom.

***

Compound: Pr4IrRuCl2
Source: the Alexandria database
Functional: GGA-PBE
Structure: optimized geometry

Structure (CIF):
```
data_Pr4IrRuCl2
_chemical_formula_sum 'Pr4 Ir1 Ru1 Cl2'
_symmetry_space_group_name_H-M 'P 1 2/m 1'
_symmetry_Int_Tables_number 10
_cell_length_a 7.1354
_cell_length_b 4.1137
_cell_length_c 8.0065
_cell_angle_alpha 90.00
_cell_angle_beta 107.29
_cell_angle_gamma 90.00
loop_
_symmetry_equiv_pos_as_xyz
'x,y,z'
'-x,-y,-z'
'-x,y,-z'
'x,-y,z'
loop_
_atom_site_label
_atom_site_type_symbol
_atom_site_fract_x
_atom_site_fract_y
_atom_site_fract_z
Pr1 Pr 0.2327 0.0000 0.2065
Pr2 Pr 0.2602 0.5000 0.7952
Ir1 Ir 0.5000 0.0000 0.0000
Ru1 Ru 0.0000 0.5000 0.0000
Cl1 Cl 0.0000 0.0000 0.5000
Cl2 Cl 0.5000 0.5000 0.5000
```

Results
Its spin magnetization is 0.00 μB per formula unit. As for the crystal system: monoclinic. The value obtained for the volume is 224.4 Å³ per cell. The value obtained for the uncorrected formation energy is -1018 meV per atom.

***

Compound: LaPmAu
Source: the Alexandria database
Functional: GGA-PBE
Structure: optimized geometry

Structure (CIF):
```
data_LaPmAu
_chemical_formula_sum 'La6 Pm6 Au6'
_symmetry_space_group_name_H-M 'I m m 2'
_symmetry_Int_Tables_number 44
_cell_length_a 4.9209
_cell_length_b 15.9790
_cell_length_c 7.4902
_cell_angle_alpha 90.00
_cell_angle_beta 90.00
_cell_angle_gamma 90.00
loop_
_symmetry_equiv_pos_as_xyz
'x,y,z'
'-x,-y,z'
'-x,y,z'
'x,-y,z'
'x+1/2,y+1/2,z+1/2'
'-x+1/2,-y+1/2,z+1/2'
'-x+1/2,y+1/2,z+1/2'
'x+1/2,-y+1/2,z+1/2'
loop_
_atom_site_label
_atom_site_type_symbol
_atom_site_fract_x
_atom_site_fract_y
_atom_site_fract_z
La1 La 0.0000 0.0000 0.0000
La2 La 0.0000 0.3671 0.7403
Pm1 Pm 0.0000 0.0000 0.5191
Pm2 Pm 0.0000 0.3182 0.2266
Au1 Au 0.0000 0.1902 0.4969
Au2 Au 0.0000 0.5000 0.2725
```

Results
Its energy above the most stable polymorph in this dataset is 129 meV per atom. Its spin magnetization is 0.00 μB per formula unit. As for the crystal system: orthorhombic. The value obtained for the volume is 589.0 Å³ per cell. The calculation puts the formation energy at -0.416 eV/atom.

***

Compound: KTb2Sn3Se6
Source: the Alexandria database
Functional: GGA-PBE
Structure: optimized geometry

Structure (CIF):
```
data_KTb2Sn3Se6
_chemical_formula_sum 'K2 Tb4 Sn6 Se12'
_symmetry_space_group_name_H-M 'C 1 2/m 1'
_symmetry_Int_Tables_number 12
_cell_length_a 18.5864
_cell_length_b 4.1136
_cell_length_c 9.2892
_cell_angle_alpha 90.00
_cell_angle_beta 100.55
_cell_angle_gamma 90.00
loop_
_symmetry_equiv_pos_as_xyz
'x,y,z'
'-x,-y,-z'
'-x,y,-z'
'x,-y,z'
'x+1/2,y+1/2,z'
'-x+1/2,-y+1/2,-z'
'-x+1/2,y+1/2,-z'
'x+1/2,-y+1/2,z'
loop_
_atom_site_label
_atom_site_type_symbol
_atom_site_fract_x
_atom_site_fract_y
_atom_site_fract_z
K1 K 0.0000 0.0000 0.0000
Tb1 Tb 0.1696 0.5000 0.3368
Sn1 Sn 0.0000 0.0000 0.5000
Sn2 Sn 0.1625 0.5000 0.8293
Se1 Se 0.0170 0.5000 0.2765
Se2 Se 0.1679 0.0000 0.5600
Se3 Se 0.1849 0.0000 0.1246
```

Results
Its spin magnetization is 0.00 μB per formula unit. As for the crystal system: monoclinic. The value obtained for the volume is 698.2 Å³ per cell. The value obtained for the uncorrected formation energy is -1024 meV per atom.

***

Compound: TcHgPb2
Source: the Alexandria database
Functional: GGA-PBE
Structure: optimized geometry

Structure (CIF):
```
data_TcHgPb2
_chemical_formula_sum 'Tc4 Hg4 Pb8'
_symmetry_space_group_name_H-M 'I -4 2 d'
_symmetry_Int_Tables_number 122
_symmetry_space_group_name_Hall 'I -4 2bw'
_cell_length_a 6.3904
_cell_length_b 6.3904
_cell_length_c 14.3081
_cell_angle_alpha 90.00
_cell_angle_beta 90.00
_cell_angle_gamma 90.00
loop_
_atom_site_label
_atom_site_type_symbol
_atom_site_fract_x
_atom_site_fract_y
_atom_site_fract_z
Tc1 Tc 0.0000 0.0000 0.0000
Hg1 Hg 0.0000 0.0000 0.5000
Pb1 Pb 0.1632 0.2500 0.1250
```

Results
Its spin magnetization is 0.00 μB per formula unit. As for the crystal system: tetragonal. The value obtained for the volume is 584.3 Å³ per cell. The calculation puts the formation energy at 0.904 eV/atom.

***

Compound: CaInTeI2
Source: the Alexandria database
Functional: GGA-PBE
Structure: optimized geometry

Structure (CIF):
```
data_CaInTeI2
_chemical_formula_sum 'Ca1 In1 Te1 I2'
_symmetry_space_group_name_H-M 'P 4/m m m'
_symmetry_Int_Tables_number 123
_symmetry_space_group_name_Hall '-P 4 2'
_cell_length_a 5.8494
_cell_length_b 5.8494
_cell_length_c 5.8484
_cell_angle_alpha 90.00
_cell_angle_beta 90.00
_cell_angle_gamma 90.00
loop_
_atom_site_label
_atom_site_type_symbol
_atom_site_fract_x
_atom_site_fract_y
_atom_site_fract_z
Ca1 Ca 0.0000 0.0000 0.0000
In1 In 0.5000 0.5000 0.5000
Te1 Te 0.5000 0.5000 0.0000
I1 I 0.0000 0.5000 0.5000
```

Results
Its energy above the most stable polymorph in this dataset is 171 meV per atom. Its spin magnetization is 0.00 μB per formula unit. As for the crystal system: tetragonal. The value obtained for the volume is 200.1 Å³ per cell. The value obtained for the uncorrected formation energy is -463 meV per atom.

***

Compound: KNaMg14
Source: the Alexandria database
Functional: GGA-PBE
Structure: optimized geometry

Structure (CIF):
```
data_KNaMg14
_chemical_formula_sum 'K1 Na1 Mg14'
_symmetry_space_group_name_H-M 'P -6 m 2'
_symmetry_Int_Tables_number 187
_symmetry_space_group_name_Hall 'P -6 2'
_cell_length_a 6.5964
_cell_length_b 6.5964
_cell_length_c 10.7356
_cell_angle_alpha 90.00
_cell_angle_beta 90.00
_cell_angle_gamma 120.00
loop_
_atom_site_label
_atom_site_type_symbol
_atom_site_fract_x
_atom_site_fract_y
_atom_site_fract_z
K1 K 0.0000 0.0000 0.0000
Na1 Na 0.0000 0.0000 0.5000
Mg1 Mg 0.0061 0.5030 0.0000
Mg2 Mg 0.1722 0.3443 0.2571
Mg3 Mg 0.5004 0.0008 0.5000
Mg4 Mg 0.6667 0.3333 0.2455
```

Results
Its energy above the most stable polymorph in this dataset is 9 meV per atom. Its spin magnetization is 0.00 μB per formula unit. As for the crystal system: hexagonal. The value obtained for the volume is 404.5 Å³ per cell. The calculation puts the formation energy at 0.107 eV/atom.

***

> spin magnetization of number 5 (KTb2Sn3Se6)?

0.00 μB per formula unit

***

> Which value of volume does entry 6 give?

584.3 Å³ per cell

***

> Which of these has the highest volume?

KTb2Sn3Se6